Below is crystalline CeHo3ErTm at its relaxed geometry, with properties calculated at the GGA-PBE level.

The total energy comes out at -28.4 eV per formula unit. The space-group type is Cmcm.

a = 4.9766 Å, b = 7.8645 Å, c = 9.9288 Å
α = 90.00°, β = 90.00°, γ = 108.45°
With the nearest neighbours (Å) after each atom.
Element x y z (fractional)
Ho  0.6645  0.3291  0.0000  2 Ce 3.49, 2 Er 3.50, 5 Ho 3.51-3.56, 3 Tm 3.52-3.53
Ho  0.3355  0.6709  0.5000  2 Ce 3.49, 2 Er 3.50, 5 Ho 3.51-3.56, 3 Tm 3.52-3.53
Ho  0.1672  0.3344  0.7500  2 Tm 3.51, 6 Ho 3.51-3.53, 2 Er 3.52, 2 Ce 3.53
Ho  0.6645  0.3291  0.5000  2 Ce 3.49, 2 Er 3.50, 5 Ho 3.51-3.56, 3 Tm 3.52-3.53
Ho  0.8328  0.6656  0.2500  2 Tm 3.51, 6 Ho 3.51-3.53, 2 Er 3.52, 2 Ce 3.53
Ho  0.3355  0.6709  0.0000  2 Ce 3.49, 2 Er 3.50, 5 Ho 3.51-3.56, 3 Tm 3.52-3.53
Er  0.0000  0.0000  0.0000  6 Ho 3.50-3.52, 4 Ce 3.51, 2 Tm 3.52
Er  0.0000  0.0000  0.5000  6 Ho 3.50-3.52, 4 Ce 3.51, 2 Tm 3.52
Tm  0.1670  0.3340  0.2500  8 Ho 3.51-3.53, 2 Er 3.52, 2 Ce 3.52
Tm  0.8330  0.6660  0.7500  8 Ho 3.51-3.53, 2 Er 3.52, 2 Ce 3.52
Ce  0.5002  0.0004  0.2500  6 Ho 3.49-3.53, 4 Er 3.51, 2 Tm 3.52
Ce  0.4998  0.9996  0.7500  6 Ho 3.49-3.53, 4 Er 3.51, 2 Tm 3.52

---

Below is crystalline CeHoEr2Tm5 at its relaxed geometry, with properties calculated at the GGA-PBE level.

The total energy comes out at -40.4 eV per formula unit. The space-group type is Cmc2_1.

a = 5.5288 Å, b = 10.0161 Å, c = 10.4577 Å
α = 90.00°, β = 90.00°, γ = 106.02°
With the nearest neighbours (Å) after each atom.
Element x y z (fractional)
Tm  0.1119  0.2238  0.1355  3 Er 3.38-3.64, 7 Tm 3.50-3.73, 1 Ce 3.77
Tm  0.2151  0.4302  0.4243  1 Ce 2.98, 1 Tm 3.29
Tm  0.3860  0.7721  0.4305  5 Tm 3.29-3.57, 3 Er 3.41-3.62, 2 Ho 3.48
Tm  0.4818  0.9635  0.1376  2 Ce 3.11, 3 Tm 3.29-3.48
Tm  0.8881  0.7762  0.6355  3 Er 3.38-3.64, 7 Tm 3.50-3.73, 1 Ce 3.77
Tm  0.3921  0.7842  0.8491  6 Tm 3.29-3.55, 1 Er 3.35, 2 Ce 3.59, 1 Ho 3.64
Tm  0.5182  0.0365  0.6376  2 Ce 3.11, 3 Tm 3.29-3.48
Tm  0.6079  0.2158  0.3491  6 Tm 3.29-3.55, 1 Er 3.35, 2 Ce 3.59, 1 Ho 3.64
Tm  0.7849  0.5698  0.9243  1 Ce 2.98, 1 Tm 3.29
Tm  0.6140  0.2279  0.9305  5 Tm 3.29-3.57, 3 Er 3.41-3.62, 2 Ho 3.48
Er  0.9796  0.9592  0.3476  2 Ce 2.96-3.20
Er  0.6992  0.3985  0.6216  7 Tm 3.35-3.64, 3 Ho 3.43-3.70, 2 Ce 3.65
Er  0.3008  0.6015  0.1216  7 Tm 3.35-3.64, 3 Ho 3.43-3.70, 2 Ce 3.65
Er  0.0204  0.0408  0.8476  2 Ce 2.96-3.20
Ce  0.0799  0.1597  0.5623  2 Er 2.96-3.20, 3 Tm 2.98-3.11
Ce  0.9201  0.8403  0.0623  2 Er 2.96-3.20, 3 Tm 2.98-3.11
Ho  0.7961  0.5922  0.3155  5 Tm 3.37-3.64, 4 Er 3.43-3.70, 1 Ce 3.57
Ho  0.2039  0.4078  0.8155  5 Tm 3.37-3.64, 4 Er 3.43-3.70, 1 Ce 3.57

---

Below is crystalline CeHo2Er3Tm6 at its relaxed geometry, with properties calculated at the GGA-PBE level.

The total energy comes out at -55.1 eV per formula unit. The space-group type is C2/m.

a = 6.0654 Å, b = 6.0654 Å, c = 11.5974 Å
α = 95.00°, β = 95.00°, γ = 119.95°
With the nearest neighbours (Å) after each atom.
Element x y z (fractional)
Ho  0.3334  0.6666  0.0000  3 Ho 3.50, 3 Ce 3.50, 6 Tm 3.51
Ho  0.6666  0.3334  0.0000  3 Ho 3.50, 3 Ce 3.50, 6 Tm 3.51
Tm  0.9160  0.5848  0.7495  6 Tm 3.48-3.51, 3 Er 3.49-3.50, 1 Ce 3.50, 2 Ho 3.51
Tm  0.7526  0.7526  0.2507  6 Tm 3.48-3.51, 3 Er 3.49-3.50, 1 Ce 3.50, 2 Ho 3.51
Tm  0.0840  0.4152  0.2505  6 Tm 3.48-3.51, 3 Er 3.49-3.50, 1 Ce 3.50, 2 Ho 3.51
Tm  0.4152  0.0840  0.2505  6 Tm 3.48-3.51, 3 Er 3.49-3.50, 1 Ce 3.50, 2 Ho 3.51
Tm  0.2474  0.2474  0.7493  6 Tm 3.48-3.51, 3 Er 3.49-3.50, 1 Ce 3.50, 2 Ho 3.51
Tm  0.5848  0.9160  0.7495  6 Tm 3.48-3.51, 3 Er 3.49-3.50, 1 Ce 3.50, 2 Ho 3.51
Er  0.8326  0.1674  0.5000  6 Tm 3.49-3.50, 6 Er 3.49-3.52
Er  0.5000  0.5000  0.5000  6 Tm 3.49-3.50, 6 Er 3.49-3.51
Er  0.1674  0.8326  0.5000  6 Tm 3.49-3.50, 6 Er 3.49-3.52
Ce  0.0000  0.0000  0.0000  6 Tm 3.50, 6 Ho 3.50

---

Below is crystalline CeHo3Er2Tm6 at its relaxed geometry, with properties calculated at the GGA-PBE level.

The total energy comes out at -55.2 eV per formula unit. The space-group type is C2/m.

a = 6.0671 Å, b = 6.0671 Å, c = 11.6018 Å
α = 95.00°, β = 95.00°, γ = 119.96°
With the nearest neighbours (Å) after each atom.
Element x y z (fractional)
Er  0.3334  0.6666  0.0000  6 Tm 3.50, 3 Er 3.50, 3 Ce 3.50
Er  0.6666  0.3334  0.0000  6 Tm 3.50, 3 Er 3.50, 3 Ce 3.50
Ho  0.1675  0.8325  0.5000  6 Ho 3.49-3.52, 6 Tm 3.50
Ho  0.8325  0.1675  0.5000  6 Ho 3.49-3.52, 6 Tm 3.50
Ho  0.5000  0.5000  0.5000  6 Ho 3.49-3.51, 6 Tm 3.50-3.51
Tm  0.0836  0.4149  0.2499  6 Tm 3.48-3.52, 1 Ce 3.49, 3 Ho 3.50, 2 Er 3.50
Tm  0.5851  0.9164  0.7501  6 Tm 3.48-3.52, 1 Ce 3.49, 3 Ho 3.50, 2 Er 3.50
Tm  0.9164  0.5851  0.7501  6 Tm 3.48-3.52, 1 Ce 3.49, 3 Ho 3.50, 2 Er 3.50
Tm  0.7522  0.7522  0.2501  6 Tm 3.48-3.51, 1 Ce 3.49, 3 Ho 3.50-3.51, 2 Er 3.50
Tm  0.2478  0.2478  0.7499  6 Tm 3.48-3.51, 1 Ce 3.49, 3 Ho 3.50-3.51, 2 Er 3.50
Tm  0.4149  0.0836  0.2499  6 Tm 3.48-3.52, 1 Ce 3.49, 3 Ho 3.50, 2 Er 3.50
Ce  0.0000  0.0000  0.0000  6 Tm 3.49, 6 Er 3.50

---

Below is crystalline CeHoErTm2 at its relaxed geometry, with properties calculated at the GGA-PBE level.

The total energy comes out at -22.4 eV per formula unit. The space-group type is Pmmm.

a = 5.4023 Å, b = 8.5326 Å, c = 7.0711 Å
α = 89.98°, β = 90.00°, γ = 90.00°
With the nearest neighbours (Å) after each atom.
Element x y z (fractional)
Tm  0.5000  0.6813  0.5003  1 Tm 3.09, 2 Er 3.24
Tm  0.5000  0.6813  0.0003  1 Tm 3.09, 2 Er 3.24
Tm  0.5000  0.3187  0.9997  1 Tm 3.09, 2 Er 3.24
Tm  0.5000  0.3187  0.4997  1 Tm 3.09, 2 Er 3.24
Ce  0.0000  0.0000  0.0000  4 Er 3.23, 2 Ce 3.54
Ce  0.0000  0.0000  0.5000  4 Er 3.23, 2 Ce 3.54
Ho  0.0000  0.5000  0.2500  2 Ho 3.54, 8 Tm 3.58
Ho  0.0000  0.5000  0.7500  2 Ho 3.54, 8 Tm 3.58
Er  0.5000  0.0000  0.7500  4 Ce 3.23, 4 Tm 3.24, 2 Er 3.54
Er  0.5000  0.0000  0.2500  4 Ce 3.23, 4 Tm 3.24, 2 Er 3.54

---

Below is crystalline CeHo2ErTm5 at its relaxed geometry, with properties calculated at the GGA-PBE level.

The total energy comes out at -40.4 eV per formula unit. The space-group type is Cmc2_1.

a = 5.6141 Å, b = 10.9704 Å, c = 9.4473 Å
α = 90.00°, β = 90.00°, γ = 104.83°
With the nearest neighbours (Å) after each atom.
Element x y z (fractional)
Tm  0.0142  0.0285  0.0129  3 Ho 3.25-3.64, 2 Er 3.41, 2 Tm 3.58
Tm  0.6931  0.3863  0.2143  2 Ce 3.35, 1 Er 3.39, 5 Tm 3.40-3.70, 3 Ho 3.43-3.67
Tm  0.4714  0.9428  0.7454  2 Er 3.17-3.33, 3 Tm 3.25-3.50, 2 Ho 3.41
Tm  0.7335  0.4670  0.8331  1 Er 3.03, 1 Ho 3.25, 1 Ce 3.36
Tm  0.3944  0.7888  0.0432  3 Tm 3.25-3.62, 4 Ho 3.26-3.51, 1 Er 3.63
Tm  0.9858  0.9715  0.5129  3 Ho 3.25-3.64, 2 Er 3.41, 2 Tm 3.58
Tm  0.2665  0.5330  0.3331  1 Er 3.03, 1 Ho 3.25, 1 Ce 3.36
Tm  0.6056  0.2112  0.5432  3 Tm 3.25-3.62, 4 Ho 3.26-3.51, 1 Er 3.63
Tm  0.3069  0.6137  0.7143  2 Ce 3.35, 1 Er 3.39, 5 Tm 3.40-3.70, 3 Ho 3.43-3.67
Tm  0.5286  0.0572  0.2454  2 Er 3.17-3.33, 3 Tm 3.25-3.50, 2 Ho 3.41
Er  0.4032  0.8064  0.4275  4 Tm 3.03-3.39
Er  0.5968  0.1936  0.9275  4 Tm 3.03-3.39
Ce  0.8080  0.6160  0.5199  2 Ho 3.21-3.30, 5 Tm 3.35-3.43, 2 Er 3.57
Ce  0.1920  0.3840  0.0199  2 Ho 3.21-3.30, 5 Tm 3.35-3.43, 2 Er 3.57
Ho  0.1339  0.2677  0.7065  1 Ce 3.21, 2 Tm 3.26, 2 Er 3.59
Ho  0.1132  0.2264  0.3213  9 Tm 3.25-3.59, 1 Ce 3.30
Ho  0.8661  0.7323  0.2065  1 Ce 3.21, 2 Tm 3.26, 2 Er 3.59
Ho  0.8868  0.7736  0.8213  9 Tm 3.25-3.59, 1 Ce 3.30

---

Below is crystalline CeHoEr2Tm at its relaxed geometry, with properties calculated at the GGA-PBE level.

The total energy comes out at -22.6 eV per formula unit. The space-group type is P2/c.

a = 7.1886 Å, b = 7.5869 Å, c = 5.7684 Å
α = 90.06°, β = 90.00°, γ = 90.00°
With the nearest neighbours (Å) after each atom.
Element x y z (fractional)
Tm  0.6144  0.0000  0.2500  2 Er 3.05, 2 Ce 3.12, 2 Tm 3.32
Tm  0.3856  0.0000  0.7500  2 Er 3.05, 2 Ce 3.12, 2 Tm 3.32
Er  0.6767  0.2926  0.7501  1 Tm 3.05, 1 Er 3.15
Er  0.6767  0.7074  0.7499  1 Tm 3.05, 1 Er 3.15
Er  0.3233  0.7074  0.2499  1 Tm 3.05, 1 Er 3.15
Er  0.3233  0.2926  0.2501  1 Tm 3.05, 1 Er 3.15
Ce  0.0000  0.0000  0.0000  2 Ce 2.88, 2 Tm 3.12
Ce  0.0000  0.0000  0.5000  2 Ce 2.88, 2 Tm 3.12
Ho  0.1564  0.5000  0.7500  6 Er 3.50-3.79, 2 Ho 3.66
Ho  0.8436  0.5000  0.2500  6 Er 3.50-3.79, 2 Ho 3.66

---

Below is crystalline CeHoEr5Tm2 at its relaxed geometry, with properties calculated at the GGA-PBE level.

The total energy comes out at -40.7 eV per formula unit. The space-group type is Cmc2_1.

a = 5.6238 Å, b = 10.9769 Å, c = 9.4652 Å
α = 90.00°, β = 90.00°, γ = 104.84°
With the nearest neighbours (Å) after each atom.
Element x y z (fractional)
Er  0.3060  0.6121  0.7133  2 Ce 3.35, 5 Er 3.40-3.71, 1 Ho 3.41, 3 Tm 3.45-3.67
Er  0.9860  0.9720  0.5129  3 Tm 3.25-3.62, 2 Ho 3.42, 2 Er 3.59
Er  0.5290  0.0580  0.2462  2 Ho 3.17-3.35, 3 Er 3.25-3.51, 2 Tm 3.41
Er  0.7332  0.4663  0.8318  1 Ho 3.03, 1 Tm 3.26, 1 Ce 3.35
Er  0.0140  0.0280  0.0129  3 Tm 3.25-3.62, 2 Ho 3.42, 2 Er 3.59
Er  0.6062  0.2124  0.5432  3 Er 3.25-3.64, 4 Tm 3.26-3.51, 1 Ho 3.63
Er  0.6940  0.3879  0.2133  2 Ce 3.35, 5 Er 3.40-3.71, 1 Ho 3.41, 3 Tm 3.45-3.67
Er  0.3938  0.7876  0.0432  3 Er 3.25-3.64, 4 Tm 3.26-3.51, 1 Ho 3.63
Er  0.2668  0.5337  0.3318  1 Ho 3.03, 1 Tm 3.26, 1 Ce 3.35
Er  0.4710  0.9420  0.7462  2 Ho 3.17-3.35, 3 Er 3.25-3.51, 2 Tm 3.41
Ce  0.1916  0.3832  0.0209  2 Tm 3.22-3.30, 5 Er 3.35-3.45, 2 Ho 3.57
Ce  0.8084  0.6168  0.5209  2 Tm 3.22-3.30, 5 Er 3.35-3.45, 2 Ho 3.57
Tm  0.8669  0.7337  0.2073  1 Ce 3.22, 2 Er 3.26, 2 Ho 3.58
Tm  0.1331  0.2663  0.7073  1 Ce 3.22, 2 Er 3.26, 2 Ho 3.58
Tm  0.1133  0.2266  0.3217  9 Er 3.25-3.60, 1 Ce 3.30
Tm  0.8867  0.7734  0.8217  9 Er 3.25-3.60, 1 Ce 3.30
Ho  0.4032  0.8063  0.4266  3 Er 3.03-3.35
Ho  0.5968  0.1937  0.9266  3 Er 3.03-3.35